4
Lattice="-2.006 -1.097 -2.020 2.093 0.234 -2.206 2.912 -8.709 1.837" Properties=species:S:1:pos:R:3 comment="SrHg2Mo (meta-GGA SCAN, PBEsol geometry)" formation_enthalpy_0k_ev_per_fu=2.0 space_group="P4mm (99)" total_energy_ev_per_cell=-191.5 dos_at_fermi_per_ev_atom=0.6907 pbc="T T T"
Mo 1.378 -4.121 0.869
Sr 2.212 -6.915 -0.745
Hg 0.818 -2.747 -1.624
Hg 0.048 -0.143 0.030